# 1
First-principles (PBE) data for a relaxed structure of RbSiAu3, as listed in the Alexandria database.

Output
- polymorph energy (0 for the lowest one) (meV per atom) = 476
- raw total energy (eV per atom) = -3.0435
- formation energy from raw total energies (eV/atom) = 0.20

Lattice parameters (Å, degrees): 4.272 4.272 19.273 90.00 90.00 120.00
Fractional coordinates of all 10 atoms:
1 Au 0.333 0.667 0.626
2 Au 0.667 0.333 0.374
3 Au 0.000 0.000 0.750
4 Au 0.333 0.667 0.874
5 Au 0.667 0.333 0.126
6 Au 0.000 0.000 0.250
7 Rb 0.000 0.000 0.000
8 Rb 0.000 0.000 0.500
9 Si 0.667 0.333 0.250
10 Si 0.333 0.667 0.750



# 2
First-principles (PBE) data for a relaxed structure of Pa2RuPb, as listed in the Alexandria database.

Output
- polymorph energy (0 for the lowest one) (meV per atom) = 0
- E_form (eV/atom) = -0.23
- raw total energy (eV per atom) = -8.2228

Lattice parameters (Å, degrees): 3.238 3.238 8.832 90.00 90.00 90.00
Fractional coordinates of all 4 atoms:
1 Pb 0.500 0.500 0.500
2 Pa 0.000 0.000 0.211
3 Pa 0.000 0.000 0.789
4 Ru 0.500 0.500 0.000



# 3
First-principles (PBE) data for a relaxed structure of CsSrBeSe2, as listed in the Alexandria database.

Output
- raw total energy (eV per atom) = -3.5658
- formation energy from raw total energies (eV/atom) = -0.92

Lattice parameters (Å, degrees): 5.051 8.295 8.952 101.85 90.00 90.00
Site moments in Bohr magnetons follow the coordinates.
Fractional coordinates of all 10 atoms:
1 Se 0.241 0.791 0.465  0.02
2 Se 0.241 0.209 0.035  0.02
3 Se 0.759 0.791 0.965  0.02
4 Se 0.759 0.209 0.535  0.02
5 Cs 0.768 0.500 0.250  0.01
6 Cs 0.232 0.500 0.750  0.01
7 Be 0.000 0.000 0.000  0.09
8 Be 0.000 0.000 0.500  0.09
9 Sr 0.514 0.000 0.750  0.08
10 Sr 0.486 0.000 0.250  0.08



# 4
First-principles (PBE) data for a relaxed structure of BaSc2Mn, as listed in the Alexandria database.

Output
- polymorph energy (0 for the lowest one) (meV per atom) = 380
- E_form (eV/atom) = 0.62
- raw total energy (eV per atom) = -5.3205

Lattice parameters (Å, degrees): 6.550 6.550 3.318 76.44 76.44 119.76
Site moments in Bohr magnetons follow the coordinates.
Fractional coordinates of all 4 atoms:
1 Sc 0.500 0.500 0.000  -0.36
2 Sc 0.000 0.000 0.000  -0.36
3 Ba 0.500 0.000 0.500  -0.12
4 Mn 0.000 0.500 0.500  3.85



# 5
First-principles (PBE) data for a relaxed structure of PmNdSb2, as listed in the Alexandria database.

Output
- polymorph energy (0 for the lowest one) (meV per atom) = 0
- raw total energy (eV per atom) = -5.6316
- formation energy from raw total energies (eV/atom) = -1.19

Lattice parameters (Å, degrees): 6.372 6.372 7.811 114.07 114.07 90.00
Fractional coordinates of all 8 atoms:
1 Sb 0.001 0.501 0.001
2 Sb 0.499 0.999 0.999
3 Sb 0.251 0.251 0.501
4 Sb 0.749 0.749 0.499
5 Pm 0.500 0.500 0.000
6 Pm 0.250 0.750 0.500
7 Nd 0.750 0.250 0.500
8 Nd 0.000 0.000 0.000



# 6
First-principles (PBE) data for a relaxed structure of ZnSiPt2, as listed in the Alexandria database.

Output
- raw total energy (eV per atom) = -5.1263
- formation energy from raw total energies (eV/atom) = -0.43

Lattice parameters (Å, degrees): 4.629 2.848 4.692 78.91 90.00 90.00
Fractional coordinates of all 4 atoms:
1 Pt 0.500 0.408 0.286
2 Pt 0.000 0.998 0.996
3 Si 0.000 0.312 0.462
4 Zn 0.500 0.781 0.756



# 7
First-principles (PBE) data for a relaxed structure of Ce2ScTi, as listed in the Alexandria database.

Output
- polymorph energy (0 for the lowest one) (meV per atom) = 83
- E_form (eV/atom) = 0.24
- raw total energy (eV per atom) = -6.2868

Lattice parameters (Å, degrees): 5.218 5.218 5.218 60.00 60.00 60.00
Site moments in Bohr magnetons follow the coordinates.
Fractional coordinates of all 4 atoms:
1 Ti 0.500 0.500 0.500  0.74
2 Ce 0.250 0.250 0.250  0.41
3 Ce 0.750 0.750 0.750  0.41
4 Sc 0.000 0.000 0.000  -0.08



# 8
First-principles (PBE) data for a relaxed structure of Hf3SiTc, as listed in the Alexandria database.

Output
- polymorph energy (0 for the lowest one) (meV per atom) = 23
- raw total energy (eV per atom) = -8.4902
- formation energy from raw total energies (eV/atom) = 0.64

Lattice parameters (Å, degrees): 4.805 4.805 4.805 90.00 90.00 90.00
Site moments in Bohr magnetons follow the coordinates.
Fractional coordinates of all 5 atoms:
1 Si 0.000 0.000 0.000  0.00
2 Hf 0.000 0.500 0.000  -0.05
3 Hf 0.000 0.000 0.500  -0.09
4 Hf 0.500 0.000 0.000  -0.10
5 Tc 0.500 0.500 0.500  1.02



# 9
First-principles (PBE) data for a relaxed structure of SrZn2Mo, as listed in the Alexandria database.

Output
- polymorph energy (0 for the lowest one) (meV per atom) = 164
- E_form (eV/atom) = 0.45
- raw total energy (eV per atom) = -3.3167

Lattice parameters (Å, degrees): 3.013 3.013 8.532 90.00 90.00 90.00
Fractional coordinates of all 4 atoms:
1 Zn 0.500 0.500 0.245
2 Zn 0.000 0.000 0.051
3 Sr 0.500 0.500 0.757
4 Mo 0.000 0.000 0.447



# 10
First-principles (PBE) data for a relaxed structure of TbHgCl6, as listed in the Alexandria database.

Output
- raw total energy (eV per atom) = -3.2016
- formation energy from raw total energies (eV/atom) = -1.20

Lattice parameters (Å, degrees): 6.980 7.715 6.864 61.32 58.87 53.51
Site moments in Bohr magnetons follow the coordinates.
Fractional coordinates of all 8 atoms:
1 Cl 0.917 0.552 0.201  0.33
2 Cl 0.546 0.262 0.295  0.04
3 Cl 0.767 0.103 0.760  0.01
4 Cl 0.233 0.897 0.240  0.01
5 Cl 0.454 0.738 0.705  0.04
6 Cl 0.083 0.448 0.799  0.33
7 Hg 0.000 0.000 0.000  0.01
8 Tb 0.500 0.500 0.500  -0.01



# 11
First-principles (PBE) data for a relaxed structure of Zn2HgGeIr, as listed in the Alexandria database.

Output
- polymorph energy (0 for the lowest one) (meV per atom) = 1105
- E_form (eV/atom) = 1.12
- raw total energy (eV per atom) = -2.1411

Lattice parameters (Å, degrees): 4.794 5.176 4.794 90.00 90.00 90.00
Fractional coordinates of all 5 atoms:
1 Ge 0.500 0.500 0.500
2 Hg 0.000 0.000 0.000
3 Ir 0.000 0.500 0.000
4 Zn 0.500 0.000 0.000
5 Zn 0.000 0.000 0.500



# 12
First-principles (PBE) data for a relaxed structure of CoSbPb2, as listed in the Alexandria database.

Output
- polymorph energy (0 for the lowest one) (meV per atom) = 408
- raw total energy (eV per atom) = -4.1223
- formation energy from raw total energies (eV/atom) = 0.54

Lattice parameters (Å, degrees): 5.828 5.828 5.828 134.07 134.07 66.97
Site moments in Bohr magnetons follow the coordinates.
Fractional coordinates of all 4 atoms:
1 Co 0.750 0.250 0.500  1.61
2 Pb 0.500 0.500 0.000  -0.03
3 Pb 0.000 0.000 0.000  -0.03
4 Sb 0.250 0.750 0.500  -0.03



# 13
First-principles (PBE) data for a relaxed structure of LiTi2BiH, as listed in the Alexandria database.

Output
- raw total energy (eV per atom) = -5.2502

Lattice parameters (Å, degrees): 4.023 4.023 4.539 90.00 90.00 90.00
Fractional coordinates of all 5 atoms:
1 Ti 0.000 0.500 0.000
2 Ti 0.500 0.000 0.000
3 Li 0.000 0.000 0.500
4 H 0.000 0.000 0.000
5 Bi 0.500 0.500 0.500



# 14
First-principles (PBE) data for a relaxed structure of RbTbSnTe3, as listed in the Alexandria database.

Output
- raw total energy (eV per atom) = -4.1787
- formation energy from raw total energies (eV/atom) = -1.01

Lattice parameters (Å, degrees): 4.456 9.586 12.000 109.41 90.00 90.00
Fractional coordinates of all 12 atoms:
1 Te 0.250 0.602 0.892
2 Te 0.250 0.120 0.794
3 Te 0.250 0.654 0.423
4 Te 0.750 0.398 0.108
5 Te 0.750 0.880 0.206
6 Te 0.750 0.346 0.577
7 Tb 0.250 0.634 0.155
8 Tb 0.750 0.366 0.845
9 Sn 0.250 0.130 0.557
10 Sn 0.750 0.870 0.443
11 Rb 0.250 0.223 0.268
12 Rb 0.750 0.777 0.732



# 15
First-principles (PBE) data for a relaxed structure of NaSn3F6, as listed in the Alexandria database.

Output
- raw total energy (eV per atom) = -4.5817
- formation energy from raw total energies (eV/atom) = -2.13

Lattice parameters (Å, degrees): 3.130 10.192 10.575 93.99 90.00 90.00
Fractional coordinates of all 20 atoms:
1 F 0.750 0.994 0.155
2 F 0.250 0.213 0.661
3 F 0.750 0.787 0.339
4 F 0.750 0.427 0.115
5 F 0.250 0.217 0.247
6 F 0.250 0.573 0.885
7 F 0.750 0.471 0.648
8 F 0.250 0.891 0.554
9 F 0.250 0.529 0.352
10 F 0.750 0.783 0.753
11 F 0.750 0.109 0.446
12 F 0.250 0.006 0.845
13 Sn 0.750 0.711 0.530
14 Sn 0.750 0.182 0.080
15 Sn 0.750 0.399 0.825
16 Sn 0.250 0.601 0.175
17 Sn 0.250 0.289 0.470
18 Sn 0.250 0.818 0.920
19 Na 0.250 0.964 0.327
20 Na 0.750 0.036 0.673



# 16
First-principles (PBE) data for a relaxed structure of Ac2In3GePd4, as listed in the Alexandria database.

Output
- E_form (eV/atom) = -0.67
- raw total energy (eV per atom) = -4.8539

Lattice parameters (Å, degrees): 4.778 4.778 10.284 90.00 90.00 90.00
Fractional coordinates of all 10 atoms:
1 Pd 0.500 0.000 0.618
2 Pd 0.500 0.500 0.000
3 Pd 0.000 0.000 0.000
4 Pd 0.000 0.500 0.382
5 In 0.000 0.500 0.122
6 In 0.000 0.000 0.500
7 In 0.500 0.000 0.878
8 Ac 0.000 0.500 0.752
9 Ac 0.500 0.000 0.248
10 Ge 0.500 0.500 0.500



# 17
First-principles (PBE) data for a relaxed structure of Y2HfNi, as listed in the Alexandria database.

Output
- polymorph energy (0 for the lowest one) (meV per atom) = 274
- E_form (eV/atom) = 0.21
- raw total energy (eV per atom) = -6.9581

Lattice parameters (Å, degrees): 8.089 8.089 6.447 51.14 51.14 90.00
Fractional coordinates of all 8 atoms:
1 Y 0.375 0.440 0.750
2 Y 0.560 0.125 0.250
3 Y 0.875 0.810 0.750
4 Y 0.190 0.625 0.250
5 Ni 0.500 0.500 0.000
6 Ni 0.250 0.750 0.500
7 Hf 0.750 0.250 0.500
8 Hf 0.000 0.000 0.000



# 18
First-principles (PBE) data for a relaxed structure of Pm3Pr7Tm, as listed in the Alexandria database.

Output
- polymorph energy (0 for the lowest one) (meV per atom) = 89
- E_form (eV/atom) = 0.22
- raw total energy (eV per atom) = -4.5203

Lattice parameters (Å, degrees): 6.016 8.672 8.672 82.90 110.23 110.23
Fractional coordinates of all 11 atoms:
1 Pr 0.694 0.402 0.986
2 Pr 0.000 0.500 0.500
3 Pr 0.306 0.598 0.014
4 Pr 0.694 0.986 0.402
5 Pr 0.789 0.789 0.789
6 Pr 0.211 0.211 0.211
7 Pr 0.306 0.014 0.598
8 Pm 0.000 0.793 0.207
9 Pm 0.000 0.207 0.793
10 Pm 0.500 0.000 0.000
11 Tm 0.500 0.500 0.500



# 19
First-principles (PBE) data for a relaxed structure of Rb2Sn3O8, as listed in the Alexandria database.

Output
- raw total energy (eV per atom) = -5.4981
- formation energy from raw total energies (eV/atom) = -1.37

Lattice parameters (Å, degrees): 5.668 6.295 7.799 113.80 107.80 90.00
Site moments in Bohr magnetons follow the coordinates.
Fractional coordinates of all 13 atoms:
1 Rb 0.703 0.727 0.454  0.00
2 Rb 0.297 0.273 0.546  0.00
3 Sn 0.000 0.255 0.000  -0.02
4 Sn 0.000 0.745 0.000  -0.02
5 Sn 0.500 0.000 0.000  -0.03
6 O 0.945 0.587 0.174  0.11
7 O 0.055 0.413 0.826  0.11
8 O 0.382 0.295 0.181  0.38
9 O 0.382 0.887 0.181  0.38
10 O 0.618 0.705 0.819  0.38
11 O 0.893 0.080 0.160  -0.01
12 O 0.107 0.920 0.840  -0.01
13 O 0.618 0.113 0.819  0.38



# 20
First-principles (PBE) data for a relaxed structure of LaRh2C2, as listed in the Alexandria database.

Output
- polymorph energy (0 for the lowest one) (meV per atom) = 451
- E_form (eV/atom) = 0.51
- raw total energy (eV per atom) = -7.1059

Lattice parameters (Å, degrees): 6.263 6.263 3.931 90.00 90.00 90.00
Fractional coordinates of all 10 atoms:
1 Rh 0.858 0.358 0.500
2 Rh 0.642 0.858 0.500
3 Rh 0.358 0.142 0.500
4 Rh 0.142 0.642 0.500
5 C 0.075 0.425 0.000
6 C 0.425 0.925 0.000
7 C 0.925 0.575 0.000
8 C 0.575 0.075 0.000
9 La 0.500 0.500 0.000
10 La 0.000 0.000 0.000



# 21
First-principles (PBE) data for a relaxed structure of Zn2CoRe, as listed in the Alexandria database.

Output
- polymorph energy (0 for the lowest one) (meV per atom) = 152
- E_form (eV/atom) = 0.17
- raw total energy (eV per atom) = -5.3562

Lattice parameters (Å, degrees): 4.496 4.496 4.741 81.83 81.83 34.39
Fractional coordinates of all 4 atoms:
1 Re 0.756 0.756 0.720
2 Zn 0.245 0.245 0.235
3 Zn 0.000 0.000 0.016
4 Co 0.500 0.500 0.528



# 22
First-principles (PBE) data for a relaxed structure of TiHRuRh2, as listed in the Alexandria database.

Output
- polymorph energy (0 for the lowest one) (meV per atom) = 0
- raw total energy (eV per atom) = -7.4711

Lattice parameters (Å, degrees): 3.887 3.887 3.942 90.00 90.00 90.00
Fractional coordinates of all 5 atoms:
1 Ti 0.500 0.500 0.500
2 Rh 0.500 0.000 0.000
3 Rh 0.000 0.500 0.000
4 Ru 0.000 0.000 0.500
5 H 0.000 0.000 0.000



# 23
First-principles (PBE) data for a relaxed structure of MgAl2Cl6, as listed in the Alexandria database.

Output
- raw total energy (eV per atom) = -3.4214
- formation energy from raw total energies (eV/atom) = -1.18

Lattice parameters (Å, degrees): 4.510 6.325 9.976 82.69 90.00 110.89
Fractional coordinates of all 9 atoms:
1 Cl 0.843 0.687 0.145
2 Cl 0.118 0.235 0.284
3 Cl 0.882 0.765 0.716
4 Cl 0.384 0.768 0.424
5 Cl 0.157 0.313 0.855
6 Cl 0.616 0.232 0.576
7 Mg 0.000 0.000 0.500
8 Al 0.686 0.372 0.788
9 Al 0.314 0.628 0.212



# 24
First-principles (PBE) data for a relaxed structure of Al2TlTe, as listed in the Alexandria database.

Output
- polymorph energy (0 for the lowest one) (meV per atom) = 122
- raw total energy (eV per atom) = -3.0743
- formation energy from raw total energies (eV/atom) = 0.17

Lattice parameters (Å, degrees): 4.121 3.124 7.769 89.99 90.00 90.00
Fractional coordinates of all 4 atoms:
1 Te 0.500 0.250 0.250
2 Al 0.000 0.251 0.977
3 Al 0.000 0.249 0.523
4 Tl 0.500 0.750 0.750



# 25
First-principles (PBE) data for a relaxed structure of Co2Ni3Pt3, as listed in the Alexandria database.

Output
- polymorph energy (0 for the lowest one) (meV per atom) = 25
- E_form (eV/atom) = -0.07
- raw total energy (eV per atom) = -6.2809

Lattice parameters (Å, degrees): 3.665 3.754 7.518 90.00 90.00 90.00
Site moments in Bohr magnetons follow the coordinates.
Fractional coordinates of all 8 atoms:
1 Ni 0.500 0.000 0.500  0.82
2 Ni 0.000 0.500 0.500  0.88
3 Ni 0.000 0.500 0.000  0.83
4 Co 0.000 0.000 0.258  1.94
5 Co 0.000 0.000 0.742  1.94
6 Pt 0.500 0.500 0.261  0.43
7 Pt 0.500 0.000 0.000  0.44
8 Pt 0.500 0.500 0.739  0.43